(1)
DFT (meta-GGA SCAN) results for a PBEsol-optimized structure of TaCr3Au.

Geometry as CIF:
```
data_TaCr3Au
_cell_length_a 4.706
_cell_length_b 4.706
_cell_length_c 4.706
_cell_angle_alpha 90.00
_cell_angle_beta 90.00
_cell_angle_gamma 90.00
_space_group_name_H-M_alt 'P m -3 m'
_space_group_IT_number 221
_space_group_name_Hall '-P 4 2 3'
loop_
_atom_site_label
_atom_site_fract_x
_atom_site_fract_y
_atom_site_fract_z
Ta1 0.000 0.000 0.000
Cr1 0.000 0.500 0.500
Au1 0.500 0.500 0.500
```

Calculated values
For the density of states at the Fermi level, the calculation gives 3.1 states/eV per cell. For the energy of formation from the pure elements, the calculation gives 1479 meV/atom.


(2)
DFT (meta-GGA SCAN) results for a PBEsol-optimized structure of TeP2RhS.

Geometry as CIF:
```
data_TeP2RhS
_cell_length_a 4.936
_cell_length_b 4.936
_cell_length_c 4.808
_cell_angle_alpha 90.00
_cell_angle_beta 90.00
_cell_angle_gamma 90.00
_space_group_name_H-M_alt 'P 4/m m m'
_space_group_IT_number 123
_space_group_name_Hall '-P 4 2'
loop_
_atom_site_label
_atom_site_fract_x
_atom_site_fract_y
_atom_site_fract_z
Te1 0.000 0.000 0.000
P1 0.000 0.500 0.000
Rh1 0.500 0.500 0.500
S1 0.000 0.000 0.500
```

Calculated values
For the density of states at the Fermi level, the calculation gives 3.8 states/eV per cell. Its uncorrected formation energy is 1.637 eV/atom.


no.,calculated density (g/cm3)
1,8.51
2,4.60